The following is a DFT calculation (GGA-PBE) of a relaxed AcAgSbH crystal.

- Total moment: 0.00 μB/atom
- DOS at the Fermi energy: 0.19 states/eV/atom
- Final energy: -3.924 eV/atom

Lattice parameters (Å, degrees): 5.0279 5.0279 5.0279 60.00 60.00 60.00
With the nearest neighbours (Å) after each atom.
Fractional coordinates of all 4 atoms:
Ag 0.2500 0.2500 0.2500  4 Sb 3.08, 4 Ac 3.08
H 0.7500 0.7500 0.7500  4 Ac 3.08, 4 Sb 3.08
Ac 0.5000 0.5000 0.5000  4 Ag 3.08, 4 H 3.08
Sb 0.0000 0.0000 0.0000  4 H 3.08, 4 Ag 3.08